Entry from OQMD: a relaxed Cu3Ag2 crystal (GGA-PBE).

abc: 4.7283 2.7711 11.0771
angles: 90.00 97.38 90.00
Closest atoms and distances in Å follow each position.
Space group P2/m (No. 10)
One atom of each set of equivalent atoms:
1 Cu 0.0941 0.0000 0.2824  5 Cu 2.58-2.77, 7 Ag 2.73-2.88
2 Cu 0.1842 0.5000 0.0942  9 Cu 2.52-2.77, 1 Ag 2.65
3 Cu 0.2931 0.0000 0.9154  8 Cu 2.52-2.77, 2 Ag 2.68
4 Ag 0.0000 0.5000 0.5000  8 Ag 2.74-2.89, 4 Cu 2.86
5 Ag 0.4043 0.5000 0.7194  7 Cu 2.65-2.75, 5 Ag 2.77-2.89
6 Ag 0.5000 0.0000 0.5000  10 Ag 2.74-2.88, 2 Cu 2.88

energy above the lowest structure with this stoichiometry: 56 meV/atom
formation energy from the elements: 0.098 eV/atom

Entry from OQMD: a relaxed Cu3Ag5 crystal (GGA-PBE).

abc: 5.6474 5.6474 7.9607
angles: 90.00 90.00 90.00
Closest atoms and distances in Å follow each position.
Space group I4/mmm (No. 139)
One atom of each set of equivalent atoms:
1 Cu 0.0000 0.0000 0.0000  8 Ag 2.82, 4 Cu 2.82
2 Cu 0.0000 0.5000 0.0000  10 Ag 2.82, 2 Cu 2.82
3 Ag 0.0000 0.0000 0.5000  8 Ag 2.82, 4 Cu 2.82
4 Ag 0.2500 0.2500 0.2500  6 Cu 2.82, 6 Ag 2.82

energy above the lowest structure with this stoichiometry: 61 meV/atom
formation energy from the elements: 0.098 eV/atom

Entry from OQMD: a relaxed Cu3Ag2 crystal (GGA-PBE).

abc: 22.2595 2.7643 4.6606
angles: 90.00 95.31 90.00
Closest atoms and distances in Å follow each position.
Space group Cm (No. 8)
One atom of each set of equivalent atoms:
1 Cu 0.0000 0.0000 0.0000  8 Cu 2.59-2.76, 4 Ag 2.65-2.67
2 Cu 0.0015 0.5000 0.5065  10 Cu 2.61-2.76, 2 Ag 2.66-2.68
3 Cu 0.0968 0.0000 0.7033  7 Cu 2.63-2.76, 5 Ag 2.69-2.78
4 Cu 0.1960 0.5000 0.9065  7 Ag 2.66-2.81, 5 Cu 2.70-2.87
5 Cu 0.3025 0.5000 0.6036  8 Ag 2.70-2.71, 4 Cu 2.76-2.87
6 Cu 0.4078 0.5000 0.3022  6 Cu 2.59-2.84, 6 Ag 2.69-2.82
7 Ag 0.0965 0.5000 0.1988  8 Cu 2.65-2.73, 4 Ag 2.76-2.84
8 Ag 0.2020 0.0000 0.4230  7 Cu 2.66-2.78, 5 Ag 2.76-2.84
9 Ag 0.3016 0.0000 0.1039  8 Cu 2.71-2.82, 4 Ag 2.76-2.78
10 Ag 0.4027 0.0000 0.7937  9 Cu 2.67-2.74, 3 Ag 2.76-2.78

energy above the lowest structure with this stoichiometry: 62 meV/atom
formation energy from the elements: 0.104 eV/atom

Entry from OQMD: a relaxed Cu3Ag2 crystal (GGA-PBE).

abc: 6.6771 2.7635 7.9804
angles: 90.00 104.51 90.00
Closest atoms and distances in Å follow each position.
Space group P2_1/m (No. 11)
One atom of each set of equivalent atoms:
1 Cu 0.0420 0.2500 0.1524  7 Cu 2.57-2.76, 5 Ag 2.67-2.76
2 Cu 0.1463 0.7500 0.4318  8 Cu 2.53-2.82, 3 Ag 2.65-2.67
3 Cu 0.4356 0.2500 0.3664  7 Cu 2.51-2.76, 4 Ag 2.74-2.76
4 Ag 0.2521 0.2500 0.7279  7 Cu 2.65-2.76, 5 Ag 2.76-2.92
5 Ag 0.3391 0.7500 0.0607  5 Cu 2.67-2.74, 7 Ag 2.76-2.92

energy above the lowest structure with this stoichiometry: 44 meV/atom
formation energy from the elements: 0.086 eV/atom

Entry from OQMD: a relaxed Cu4Ag5 crystal (GGA-PBE).

abc: 2.8297 2.8297 34.2905
angles: 90.00 90.00 90.00
Closest atoms and distances in Å follow each position.
Space group I4/mmm (No. 139)
One atom of each set of equivalent atoms:
1 Cu 0.0000 0.0000 0.0548  8 Ag 2.74-2.75, 4 Cu 2.83
2 Cu 0.0000 0.0000 0.1640  8 Ag 2.73-2.74, 4 Cu 2.83
3 Ag 0.0000 0.0000 0.2818  4 Cu 2.73, 8 Ag 2.83-2.96
4 Ag 0.0000 0.0000 0.3904  8 Cu 2.74, 4 Ag 2.83
5 Ag 0.0000 0.0000 0.5000  8 Cu 2.75, 4 Ag 2.83

energy above the lowest structure with this stoichiometry: 50 meV/atom
formation energy from the elements: 0.088 eV/atom

Entry from OQMD: a relaxed Cu4Ag5 crystal (GGA-PBE).

abc: 14.3823 2.8413 8.1427
angles: 90.00 123.99 90.00
Closest atoms and distances in Å follow each position.
Space group C2/m (No. 12)
One atom of each set of equivalent atoms:
1 Cu 0.1162 0.0000 0.1721  7 Ag 2.67-2.79, 5 Cu 2.73-2.92
2 Cu 0.2277 0.0000 0.8464  6 Cu 2.63-2.84, 6 Ag 2.66-2.89
3 Ag 0.0000 0.0000 0.5000  10 Ag 2.79-2.87, 2 Cu 2.89
4 Ag 0.0579 0.5000 0.8508  7 Cu 2.66-2.84, 5 Ag 2.84-2.93
5 Ag 0.1697 0.5000 0.5097  5 Cu 2.70-2.79, 7 Ag 2.79-2.93

energy above the lowest structure with this stoichiometry: 65 meV/atom
formation energy from the elements: 0.103 eV/atom